{
  "formula": "Sr2HfCo2O6",
  "functional": "PBE with a Hubbard U",
  "state": "relaxed",
  "lattice": [[2.975, 1.718, 5.323], [-2.975, 1.718, 5.323], [0.000, -3.436, 5.323]],
  "species": ["Sr", "Sr", "Hf", "Co", "Co", "O", "O", "O", "O", "O", "O"],
  "frac_coords": [[0.213, 0.213, 0.213], [0.787, 0.787, 0.787], [0.000, 0.000, 0.000], [0.430, 0.430, 0.430], [0.570, 0.570, 0.570], [0.227, 0.762, 0.762], [0.238, 0.238, 0.773], [0.238, 0.773, 0.238], [0.762, 0.227, 0.762], [0.762, 0.762, 0.227], [0.773, 0.238, 0.238]],
  "e_tot_ev_per_cell": -77.36,
  "m_tot_mub_per_atom": 0.545
}